A plane-wave DFT calculation with PBE was carried out for a relaxed TlGa2Hg crystal.

offset from the most stable computed form: 105 meV per atom
space-group type: No. 166
energy of formation from the pure elements: 46 kJ/mol of formula units

Lattice parameters (Å, degrees): 3.9339 3.9339 7.8576 75.50 75.50 60.00
Closest atoms and distances in Å follow each position.
Atoms (fractional coordinates):
Ga  0.2580  0.2580  0.2259  3 Hg 2.84, 3 Tl 3.07
Ga  0.7420  0.7420  0.7741  3 Hg 2.84, 3 Tl 3.07
Tl  0.5000  0.5000  0.5000  6 Ga 3.07
Hg  0.0000  0.0000  0.0000  6 Ga 2.84

A plane-wave DFT calculation with PBE was carried out for a relaxed Sc2OsCl crystal.

offset from the most stable computed form: 743 meV per atom
space-group type: No. 160
formation energy without anion corrections: -0.2008 eV/atom

Lattice parameters (Å, degrees): 10.0562 10.0562 10.0562 18.14 18.14 18.14
Closest atoms and distances in Å follow each position.
Atoms (fractional coordinates):
Sc  0.2421  0.2421  0.2421  3 Cl 2.53
Sc  0.0063  0.0063  0.0063  3 Os 2.60
Os  0.7352  0.7352  0.7352  3 Sc 2.60
Cl  0.5164  0.5164  0.5164  3 Sc 2.53

A plane-wave DFT calculation with PBE was carried out for a relaxed Sm3Tm2Se8 crystal.

space-group type: No. 12
formation energy without anion corrections: -1.6647 eV/atom

Lattice parameters (Å, degrees): 7.0640 8.2786 8.2937 119.94 107.09 90.00
Closest atoms and distances in Å follow each position.
Atoms (fractional coordinates):
Se  0.4171  0.3672  0.2551  2 Sm 2.89-2.90, 2 Tm 2.90
Se  0.4171  0.8879  0.2551  2 Sm 2.89-2.90, 2 Tm 2.90
Se  0.8907  0.6190  0.2380  1 Tm 2.79, 2 Sm 2.88
Sm  0.5000  0.0000  0.0000  6 Se 2.89-2.95
Se  0.5829  0.1121  0.7449  2 Sm 2.89-2.90, 2 Tm 2.90
Se  0.0694  0.8774  0.7549  1 Tm 2.88, 3 Sm 2.94-2.95
Sm  0.0000  0.7376  0.0000  6 Se 2.88-2.94
Tm  0.3396  0.2569  0.5138  6 Se 2.79-2.90
Sm  0.0000  0.2624  0.0000  6 Se 2.88-2.94
Se  0.9306  0.1226  0.2451  1 Tm 2.88, 3 Sm 2.94-2.95
Tm  0.6604  0.7431  0.4862  6 Se 2.79-2.90
Se  0.1093  0.3810  0.7620  1 Tm 2.79, 2 Sm 2.88
Se  0.5829  0.6328  0.7449  2 Sm 2.89-2.90, 2 Tm 2.90

A plane-wave DFT calculation with PBE was carried out for a relaxed Nb2Fe3Si2 crystal.

space-group type: No. 65
formation energy without anion corrections: -0.0416 eV/atom

Lattice parameters (Å, degrees): 2.7055 4.2939 8.7273 104.24 90.00 90.00
Closest atoms and distances in Å follow each position.
Atoms (fractional coordinates):
Nb  0.0000  0.1517  0.3035  1 Fe 2.57, 6 Si 2.71-2.74, 2 Nb 2.71
Nb  0.0000  0.8483  0.6965  1 Fe 2.57, 6 Si 2.71-2.74, 2 Nb 2.71
Fe  0.5000  0.4334  0.8668  1 Fe 2.25, 1 Si 2.38
Si  0.5000  0.2928  0.5856  1 Fe 2.38, 2 Si 2.59
Si  0.5000  0.7072  0.4144  1 Fe 2.38, 2 Si 2.59
Fe  0.5000  0.5666  0.1332  1 Fe 2.25, 1 Si 2.38
Fe  0.0000  0.0000  0.0000  2 Nb 2.57, 10 Fe 2.71-2.78

A plane-wave DFT calculation with PBE was carried out for a relaxed HoCd3Rh crystal.

offset from the most stable computed form: 0 meV per atom
space-group type: No. 62
energy of formation from the pure elements: -158 kJ/mol of formula units

Lattice parameters (Å, degrees): 4.0197 9.4063 11.8805 90.00 90.00 90.00
Closest atoms and distances in Å follow each position.
Atoms (fractional coordinates):
Ho  0.2500  0.1941  0.0135  2 Rh 2.74
Cd  0.2500  0.9427  0.7883  2 Rh 2.74-2.87, 2 Cd 3.03
Rh  0.2500  0.1708  0.6279  2 Ho 2.74, 7 Cd 2.74-2.88
Cd  0.7500  0.9584  0.5869  3 Rh 2.83-2.88, 5 Cd 2.96-3.13
Cd  0.2500  0.8169  0.2073  2 Rh 2.81, 3 Cd 2.96-3.03
Rh  0.2500  0.6708  0.8721  2 Ho 2.74, 7 Cd 2.74-2.88
Cd  0.7500  0.6831  0.7073  2 Rh 2.81, 3 Cd 2.96-3.03
Cd  0.7500  0.0573  0.2117  2 Rh 2.74-2.87, 2 Cd 3.03
Rh  0.7500  0.8292  0.3721  2 Ho 2.74, 7 Cd 2.74-2.88
Cd  0.7500  0.5573  0.2883  2 Rh 2.74-2.87, 2 Cd 3.03
Cd  0.7500  0.1831  0.7927  2 Rh 2.81, 3 Cd 2.96-3.03
Ho  0.7500  0.8059  0.9865  2 Rh 2.74
Cd  0.7500  0.4584  0.9131  3 Rh 2.83-2.88, 5 Cd 2.96-3.13
Ho  0.7500  0.3059  0.5135  2 Rh 2.74
Rh  0.7500  0.3292  0.1279  2 Ho 2.74, 7 Cd 2.74-2.88
Cd  0.2500  0.5416  0.0869  3 Rh 2.83-2.88, 5 Cd 2.96-3.13
Cd  0.2500  0.3169  0.2927  2 Rh 2.81, 3 Cd 2.96-3.03
Cd  0.2500  0.0416  0.4131  3 Rh 2.83-2.88, 5 Cd 2.96-3.13
Cd  0.2500  0.4427  0.7117  2 Rh 2.74-2.87, 2 Cd 3.03
Ho  0.2500  0.6941  0.4865  2 Rh 2.74

A plane-wave DFT calculation with PBE was carried out for a relaxed DyBiPd4 crystal.

offset from the most stable computed form: 0 meV per atom
space-group type: No. 12
energy of formation from the pure elements: -336 kJ/mol of formula units

Lattice parameters (Å, degrees): 5.0228 8.9549 5.0297 90.00 86.58 90.00
Closest atoms and distances in Å follow each position.
Atoms (fractional coordinates):
Bi  0.0000  0.5000  0.5000  10 Pd 2.93-2.97
Pd  0.5001  0.8326  0.0001  5 Pd 2.91-3.00, 3 Dy 2.92-2.98, 2 Bi 2.93
Dy  0.5000  0.5000  0.0000  10 Pd 2.92-2.98
Pd  0.4999  0.6686  0.5001  5 Pd 2.90-3.02, 3 Bi 2.93-2.97, 2 Dy 2.93
Bi  0.5000  0.0000  0.5000  10 Pd 2.93-2.97
Pd  0.0001  0.6674  0.0001  5 Pd 2.91-3.00, 3 Dy 2.92-2.98, 2 Bi 2.93
Pd  0.9999  0.8314  0.5001  5 Pd 2.90-3.02, 3 Bi 2.93-2.97, 2 Dy 2.93
Pd  0.4999  0.1674  0.9999  5 Pd 2.91-3.00, 3 Dy 2.92-2.98, 2 Bi 2.93
Pd  0.9999  0.3326  0.9999  5 Pd 2.91-3.00, 3 Dy 2.92-2.98, 2 Bi 2.93
Pd  0.5001  0.3314  0.4999  5 Pd 2.90-3.02, 3 Bi 2.93-2.97, 2 Dy 2.93
Dy  0.0000  0.0000  0.0000  10 Pd 2.92-2.98
Pd  0.0001  0.1686  0.4999  5 Pd 2.90-3.02, 3 Bi 2.93-2.97, 2 Dy 2.93